A crystal of LaTlSe2 relaxed with PBEsol, computed with SCAN.

Final energy: -39.720 eV per atom
Total moment: 0.00 μB per cell
Symmetry: F-43m

abc: 5.200 5.200 5.200
angles: 60.00 60.00 60.00
Atoms (fractional coordinates):
1 Se 0.750 0.750 0.750
2 Se 0.000 0.000 0.000
3 Tl 0.250 0.250 0.250
4 La 0.500 0.500 0.500